Record 1
# Ti6ReMo (PBE, relaxed)
# density of states at the Fermi level = 1.67 states/eV/atom
# DFT formation energy = -0.10 eV per atom
data_Ti6ReMo
_chemical_formula_sum 'Ti12 Re2 Mo2'
_cell_length_a 4.475
_cell_length_b 4.475
_cell_length_c 13.163
_cell_angle_alpha 90.00
_cell_angle_beta 90.00
_cell_angle_gamma 90.00
_symmetry_space_group_name_H-M 'I 4/m m m'
_symmetry_Int_Tables_number 139
_symmetry_space_group_name_Hall '-I 4 2'
loop_
_atom_site_label
_atom_site_fract_x
_atom_site_fract_y
_atom_site_fract_z
_atom_site_occupancy
Ti1 0.000 0.000 0.250 1
Ti2 0.000 0.500 0.112 1
Re1 0.000 0.000 0.000 1
Mo1 0.000 0.000 0.500 1

---

Record 2
# TiReMo4 (PBE, relaxed)
# density of states at the Fermi level = 0.62 states/eV/atom
# E above lowest polymorph = 0 meV per atom
# DFT formation energy = 0.01 eV per atom
data_TiReMo4
_chemical_formula_sum 'Ti2 Re2 Mo8'
_cell_length_a 5.238
_cell_length_b 7.911
_cell_length_c 5.228
_cell_angle_alpha 90.00
_cell_angle_beta 118.99
_cell_angle_gamma 90.00
_symmetry_space_group_name_H-M 'P 1 21/c 1'
_symmetry_Int_Tables_number 14
loop_
_symmetry_equiv_pos_as_xyz
'x,y,z'
'-x,-y,-z'
'-x,y+1/2,-z+1/2'
'x,-y+1/2,z+1/2'
loop_
_atom_site_label
_atom_site_fract_x
_atom_site_fract_y
_atom_site_fract_z
_atom_site_occupancy
Ti1 0.000 0.000 0.000 1
Re1 0.500 0.000 0.500 1
Mo1 0.092 0.163 0.592 1
Mo2 0.409 0.664 0.401 1

---

Record 3
# TiReMo14 (PBE, relaxed)
# density of states at the Fermi level = 0.75 states/eV/atom
# DFT formation energy = -0.06 eV per atom
data_TiReMo14
_chemical_formula_sum 'Ti2 Re2 Mo28'
_cell_length_a 6.318
_cell_length_b 8.923
_cell_length_c 8.943
_cell_angle_alpha 90.00
_cell_angle_beta 90.00
_cell_angle_gamma 90.00
_symmetry_space_group_name_H-M 'C m m m'
_symmetry_Int_Tables_number 65
_symmetry_space_group_name_Hall '-C 2 2'
loop_
_atom_site_label
_atom_site_fract_x
_atom_site_fract_y
_atom_site_fract_z
_atom_site_occupancy
Ti1 0.000 0.000 0.000 1
Re1 0.000 0.500 0.000 1
Mo1 0.000 0.000 0.500 1
Mo2 0.000 0.249 0.248 1
Mo3 0.000 0.500 0.500 1
Mo4 0.250 0.000 0.250 1
Mo5 0.250 0.250 0.000 1
Mo6 0.250 0.250 0.500 1

---

Record 4
# Ti4ReMo (PBE, relaxed)
# density of states at the Fermi level = 1.05 states/eV/atom
# E above lowest polymorph = 0 meV per atom
# DFT formation energy = 0.14 eV per atom
data_Ti4ReMo
_chemical_formula_sum 'Ti16 Re4 Mo4'
_cell_length_a 12.470
_cell_length_b 6.817
_cell_length_c 4.942
_cell_angle_alpha 90.00
_cell_angle_beta 102.56
_cell_angle_gamma 90.00
_symmetry_space_group_name_H-M 'C 1 2/m 1'
_symmetry_Int_Tables_number 12
loop_
_symmetry_equiv_pos_as_xyz
'x,y,z'
'-x,-y,-z'
'-x,y,-z'
'x,-y,z'
'x+1/2,y+1/2,z'
'-x+1/2,-y+1/2,-z'
'-x+1/2,y+1/2,-z'
'x+1/2,-y+1/2,z'
loop_
_atom_site_label
_atom_site_fract_x
_atom_site_fract_y
_atom_site_fract_z
_atom_site_occupancy
Ti1 0.000 0.191 0.000 1
Ti2 0.143 0.209 0.590 1
Ti3 0.174 0.500 0.198 1
Re1 0.206 0.000 0.190 1
Mo1 0.046 0.500 0.745 1

---

Record 5
# Ti2ReMo2 (PBE, relaxed)
# density of states at the Fermi level = 0.92 states/eV/atom
# DFT formation energy = -0.24 eV per atom
data_Ti2ReMo2
_chemical_formula_sum 'Ti4 Re2 Mo4'
_cell_length_a 13.047
_cell_length_b 4.368
_cell_length_c 2.792
_cell_angle_alpha 90.00
_cell_angle_beta 99.75
_cell_angle_gamma 90.00
_symmetry_space_group_name_H-M 'C 1 2/m 1'
_symmetry_Int_Tables_number 12
loop_
_symmetry_equiv_pos_as_xyz
'x,y,z'
'-x,-y,-z'
'-x,y,-z'
'x,-y,z'
'x+1/2,y+1/2,z'
'-x+1/2,-y+1/2,-z'
'-x+1/2,y+1/2,-z'
'x+1/2,-y+1/2,z'
loop_
_atom_site_label
_atom_site_fract_x
_atom_site_fract_y
_atom_site_fract_z
_atom_site_occupancy
Ti1 0.098 0.000 0.387 1
Re1 0.000 0.500 0.000 1
Mo1 0.201 0.500 0.818 1

---

Record 6
# TiReMo6 (PBE, relaxed)
# density of states at the Fermi level = 1.01 states/eV/atom
# E above lowest polymorph = 480 meV per atom
# DFT formation energy = 0.64 eV per atom
data_TiReMo6
_chemical_formula_sum 'Ti2 Re2 Mo12'
_cell_length_a 7.217
_cell_length_b 5.261
_cell_length_c 7.586
_cell_angle_alpha 90.00
_cell_angle_beta 103.67
_cell_angle_gamma 90.00
_symmetry_space_group_name_H-M 'C 1 2/m 1'
_symmetry_Int_Tables_number 12
loop_
_symmetry_equiv_pos_as_xyz
'x,y,z'
'-x,-y,-z'
'-x,y,-z'
'x,-y,z'
'x+1/2,y+1/2,z'
'-x+1/2,-y+1/2,-z'
'-x+1/2,y+1/2,-z'
'x+1/2,-y+1/2,z'
loop_
_atom_site_label
_atom_site_fract_x
_atom_site_fract_y
_atom_site_fract_z
_atom_site_occupancy
Ti1 0.000 0.000 0.000 1
Re1 0.000 0.500 0.500 1
Mo1 0.128 0.000 0.415 1
Mo2 0.201 0.242 0.796 1

---

Record 7
# Ti6ReMo2 (PBE, relaxed)
# density of states at the Fermi level = 1.24 states/eV/atom
# DFT formation energy = 0.11 eV per atom
data_Ti6ReMo2
_chemical_formula_sum 'Ti12 Re2 Mo4'
_cell_length_a 13.932
_cell_length_b 2.702
_cell_length_c 9.324
_cell_angle_alpha 90.00
_cell_angle_beta 121.93
_cell_angle_gamma 90.00
_symmetry_space_group_name_H-M 'C 1 2/m 1'
_symmetry_Int_Tables_number 12
loop_
_symmetry_equiv_pos_as_xyz
'x,y,z'
'-x,-y,-z'
'-x,y,-z'
'x,-y,z'
'x+1/2,y+1/2,z'
'-x+1/2,-y+1/2,-z'
'-x+1/2,y+1/2,-z'
'x+1/2,-y+1/2,z'
loop_
_atom_site_label
_atom_site_fract_x
_atom_site_fract_y
_atom_site_fract_z
_atom_site_occupancy
Ti1 0.051 0.000 0.269 1
Ti2 0.113 0.500 0.046 1
Ti3 0.224 0.000 0.616 1
Re1 0.000 0.000 0.500 1
Mo1 0.167 0.500 0.828 1

---

Record 8
# TiReMo6 (PBE, relaxed)
# density of states at the Fermi level = 0.53 states/eV/atom
# E above lowest polymorph = 0 meV per atom
# DFT formation energy = 0.16 eV per atom
data_TiReMo6
_chemical_formula_sum 'Ti3 Re3 Mo18'
_cell_length_a 9.1633
_cell_length_b 9.1633
_cell_length_c 5.3192
_cell_angle_alpha 90.00
_cell_angle_beta 90.00
_cell_angle_gamma 120.00
_symmetry_space_group_name_H-M 'R -3 m'
_symmetry_Int_Tables_number 166
_symmetry_space_group_name_Hall '-R 3 2"'
loop_
_atom_site_label
_atom_site_fract_x
_atom_site_fract_y
_atom_site_fract_z
_atom_site_occupancy
Ti1 0.0000 0.0000 0.0000 1
Re1 0.0000 0.0000 0.5000 1
Mo1 0.0041 0.5021 0.2527 1

---

Record 9
# Ti4Re3Mo (PBE, relaxed)
# density of states at the Fermi level = 1.30 states/eV/atom
# DFT formation energy = -0.30 eV per atom
data_Ti4Re3Mo
_chemical_formula_sum 'Ti4 Re3 Mo1'
_cell_length_a 3.124
_cell_length_b 3.124
_cell_length_c 12.539
_cell_angle_alpha 90.00
_cell_angle_beta 90.00
_cell_angle_gamma 90.00
_symmetry_space_group_name_H-M 'P 4/m m m'
_symmetry_Int_Tables_number 123
_symmetry_space_group_name_Hall '-P 4 2'
loop_
_atom_site_label
_atom_site_fract_x
_atom_site_fract_y
_atom_site_fract_z
_atom_site_occupancy
Ti1 0.000 0.000 0.124 1
Ti2 0.000 0.000 0.370 1
Re1 0.500 0.500 0.000 1
Re2 0.500 0.500 0.249 1
Mo1 0.500 0.500 0.500 1

---

Record 10
# TiRe3Mo (PBE, relaxed)
# density of states at the Fermi level = 0.59 states/eV/atom
# E above lowest polymorph = 50 meV per atom
# DFT formation energy = 1.87 eV per atom
data_TiRe3Mo
_chemical_formula_sum 'Ti1 Re3 Mo1'
_cell_length_a 4.656
_cell_length_b 4.656
_cell_length_c 4.656
_cell_angle_alpha 90.00
_cell_angle_beta 90.00
_cell_angle_gamma 90.00
_symmetry_space_group_name_H-M 'P m -3 m'
_symmetry_Int_Tables_number 221
_symmetry_space_group_name_Hall '-P 4 2 3'
loop_
_atom_site_label
_atom_site_fract_x
_atom_site_fract_y
_atom_site_fract_z
_atom_site_occupancy
Ti1 0.000 0.000 0.000 1
Re1 0.000 0.500 0.500 1
Mo1 0.500 0.500 0.500 1

---

Record 11
# Ti5Re6Mo (PBE, relaxed)
# density of states at the Fermi level = 0.55 states/eV/atom
# DFT formation energy = -0.39 eV per atom
data_Ti5Re6Mo
_chemical_formula_sum 'Ti10 Re12 Mo2'
_cell_length_a 4.400
_cell_length_b 6.246
_cell_length_c 13.241
_cell_angle_alpha 90.00
_cell_angle_beta 90.00
_cell_angle_gamma 90.00
_symmetry_space_group_name_H-M 'I m m m'
_symmetry_Int_Tables_number 71
_symmetry_space_group_name_Hall '-I 2 2'
loop_
_atom_site_label
_atom_site_fract_x
_atom_site_fract_y
_atom_site_fract_z
_atom_site_occupancy
Ti1 0.000 0.000 0.000 1
Ti2 0.000 0.000 0.332 1
Ti3 0.000 0.500 0.333 1
Re1 0.000 0.249 0.500 1
Re2 0.000 0.251 0.166 1
Mo1 0.000 0.500 0.000 1